(1)
{
  "formula": "LiTbPrAl",
  "functional": "PBE",
  "state": "relaxed",
  "ef_ev_per_atom": -0.193,
  "space_group": "F-43m, No. 216",
  "lattice": [[0.000, 3.721, 3.721], [3.721, 0.000, 3.721], [3.721, 3.721, 0.000]],
  "species": ["Li", "Tb", "Pr", "Al"],
  "frac_coords": [[0.000, 0.000, 0.000], [0.250, 0.250, 0.250], [0.750, 0.750, 0.750], [0.500, 0.500, 0.500]]
}


(2)
{
  "formula": "Li2PrAlTe4",
  "functional": "PBE",
  "state": "relaxed",
  "space_group": "Imma, No. 74",
  "raw_formation_energy_ev_per_atom": -0.8891,
  "lattice": [[-4.166, 4.462, 6.073], [4.166, -4.462, 6.073], [4.166, 4.462, -6.073]],
  "species": ["Li", "Li", "Li", "Li", "Pr", "Pr", "Al", "Al", "Te", "Te", "Te", "Te", "Te", "Te", "Te", "Te"],
  "frac_coords": [[0.000, 0.000, 0.000], [0.500, 0.000, 0.000], [0.500, 0.000, 0.500], [0.500, 0.500, 0.500], [0.000, 0.500, 0.500], [0.500, 0.500, 0.000], [0.000, 0.000, 0.500], [0.000, 0.500, 0.000], [0.205, 0.239, 0.965], [0.226, 0.761, 0.465], [0.254, 0.238, 0.484], [0.254, 0.769, 0.016], [0.746, 0.231, 0.984], [0.746, 0.762, 0.516], [0.774, 0.239, 0.535], [0.795, 0.761, 0.035]]
}


(3)
{
  "formula": "LiPrAlTl",
  "functional": "PBE",
  "state": "relaxed",
  "ef_ev_per_atom": -0.238,
  "space_group": "F-43m, No. 216",
  "lattice": [[0.000, 3.661, 3.661], [3.661, 0.000, 3.661], [3.661, 3.661, 0.000]],
  "species": ["Li", "Pr", "Al", "Tl"],
  "frac_coords": [[0.000, 0.000, 0.000], [0.500, 0.500, 0.500], [0.750, 0.750, 0.750], [0.250, 0.250, 0.250]]
}


(4)
{
  "formula": "LiPrTmAl",
  "functional": "PBE",
  "state": "relaxed",
  "ef_ev_per_atom": -0.191,
  "space_group": "F-43m, No. 216",
  "lattice": [[0.000, 3.692, 3.692], [3.692, 0.000, 3.692], [3.692, 3.692, 0.000]],
  "species": ["Li", "Pr", "Tm", "Al"],
  "frac_coords": [[0.000, 0.000, 0.000], [0.250, 0.250, 0.250], [0.750, 0.750, 0.750], [0.500, 0.500, 0.500]]
}